Entry one
Density functional theory data (PBE) for an optimized crystal structure of MgPaNO.

a = 3.832 Å, b = 6.107 Å, c = 5.275 Å
α = 90.00°, β = 90.00°, γ = 90.00°
Space group Pmc2_1 (No. 26)
Inequivalent atoms, fractional coordinates:
1 Mg 0.000 0.198 0.000 x2
2 Pa 0.500 0.309 0.491 x2
3 N 0.500 0.322 0.948 x2
4 O 0.000 0.111 0.370 x2

---

Entry two
Density functional theory data (PBE) for an optimized crystal structure of MgPaNO.

a = 3.608 Å, b = 6.505 Å, c = 5.472 Å
α = 90.00°, β = 90.00°, γ = 90.00°
Space group Pmc2_1 (No. 26)
Inequivalent atoms, fractional coordinates:
1 Mg 0.000 0.153 0.000 x2
2 Pa 0.500 0.340 0.477 x2
3 N 0.000 0.148 0.386 x2
4 O 0.500 0.291 0.908 x2

---

Entry three
Density functional theory data (PBE) for an optimized crystal structure of MgPaNO.

a = 3.816 Å, b = 3.816 Å, c = 8.214 Å
α = 90.00°, β = 90.00°, γ = 90.00°
Space group P4/nmm (No. 129, origin choice 2)
Inequivalent atoms, fractional coordinates:
1 Mg 0.250 0.750 0.000 x2
2 Pa 0.250 0.250 0.334 x2
3 N 0.250 0.250 0.877 x2
4 O 0.250 0.750 0.500 x2

---

Ranking the structures above by stability puts entry one first and entry three last.